W2O5: relaxed, PBE with a Hubbard U.

Results
energy above the most stable polymorph in this dataset = 182.4 meV/atom
final energy = -102.97 eV/cell
V = 16.3 Å³ per atom
space group = No. 63
crystal system = orthorhombic
ρ = 6.53 g/cm³
spin magnetization = 0.4 μB/cell

a b c (Å): 5.4511 5.4511 7.6655
angles (deg): 90.00 90.00 90.00
With the nearest neighbours (Å) after each atom.
Positions (direct):
W 0.5006 0.4994 0.7500  6 O 1.92-1.94
W 0.4994 0.5006 0.2500  6 O 1.92-1.94
W 0.0006 0.9994 0.7500  4 O 1.91
W 0.9994 0.0006 0.2500  4 O 1.91
O 0.7527 0.7516 0.7500  2 W 1.91-1.94
O 0.2484 0.2473 0.7500  2 W 1.91-1.94
O 0.2473 0.2484 0.2500  2 W 1.91-1.94
O 0.7516 0.7527 0.2500  2 W 1.91-1.94
O 0.2483 0.7517 0.7500  2 W 1.91-1.94
O 0.7517 0.2483 0.2500  2 W 1.91-1.94
O 0.7526 0.2474 0.7500  2 W 1.91-1.94
O 0.2474 0.7526 0.2500  2 W 1.91-1.94
O 0.5000 0.5000 0.5000  2 W 1.92
O 0.5000 0.5000 0.0000  2 W 1.92